[1]
# SmPu2Os9

An optimized crystal structure of SmPu2Os9 (PBE, the Alexandria database).

Summary:
N(E_F) = 21.9 states/eV per cell
E_form = 24 meV per atom
Symmetry = C2/m (12)

Unit cell a=5.3640 b=5.3640 c=9.2813 alpha=73.21 beta=73.21 gamma=58.01
With the nearest neighbours (Å) after each atom.
Atoms (fractional coordinates):
Os (0.4211, 0.9254, 0.2557)  7 Os 2.58-2.76
Sm (0.0000, 0.0000, 0.0000)  6 Os 2.87-3.18
Pu (0.1382, 0.1383, 0.5764)  11 Os 3.02-3.23, 3 Pu 3.34-3.35
Os (0.5000, 0.5000, 0.5000)  6 Os 2.66-2.80
Os (0.0745, 0.5789, 0.7443)  7 Os 2.58-2.76
Os (0.9255, 0.4211, 0.2557)  7 Os 2.58-2.76
Os (0.4232, 0.4231, 0.2330)  7 Os 2.62-2.80
Os (0.6915, 0.6915, 0.0081)  8 Os 2.60-2.81, 1 Sm 2.87
Os (0.3085, 0.3085, 0.9919)  8 Os 2.60-2.81, 1 Sm 2.87
Pu (0.8618, 0.8617, 0.4236)  11 Os 3.02-3.23, 3 Pu 3.34-3.35
Os (0.5789, 0.0746, 0.7443)  7 Os 2.58-2.76
Os (0.5768, 0.5769, 0.7670)  7 Os 2.62-2.80

---

[2]
# SmPuOs

An optimized crystal structure of SmPuOs (PBE, the Alexandria database).

Summary:
N(E_F) = 7.0 states/eV per cell
E_form = 154 meV per atom
Symmetry = P-6m2 (187)
Excess energy over the best structure of this formula in the dataset = 255 meV/atom

Unit cell a=3.4599 b=4.7720 c=4.7720 alpha=120.00 beta=90.00 gamma=90.00
With the nearest neighbours (Å) after each atom.
Atoms (fractional coordinates):
Pu (0.1661, 0.0000, 0.0000)  3 Os 2.76
Sm (0.6667, 0.3333, 0.6667)  6 Pu 3.25, 6 Os 3.25, 2 Sm 3.46
Os (0.1672, 0.6667, 0.3333)  3 Pu 2.76

---

[3]
# Sm2Pu3Os2

An optimized crystal structure of Sm2Pu3Os2 (PBE, the Alexandria database).

Summary:
N(E_F) = 17.4 states/eV per cell
E_form = -60 meV per atom
Symmetry = P-1 (2)

Unit cell a=4.0863 b=6.0110 c=8.2331 alpha=112.99 beta=89.91 gamma=109.95
With the nearest neighbours (Å) after each atom.
Atoms (fractional coordinates):
Os (0.1536, 0.3075, 0.2280)  5 Pu 2.81-2.87, 2 Sm 3.06-3.07
Os (0.8464, 0.6925, 0.7720)  5 Pu 2.81-2.87, 2 Sm 3.06-3.07
Sm (0.8443, 0.6888, 0.1942)  3 Os 3.06-3.39
Pu (0.5000, 0.0000, 0.0000)  4 Os 2.83
Sm (0.1557, 0.3112, 0.8058)  3 Os 3.06-3.39
Pu (0.6203, 0.2402, 0.4397)  3 Os 2.81-2.87
Pu (0.3797, 0.7598, 0.5603)  3 Os 2.81-2.87

---

What is the N(E_F) in the second record? 7.0 states/eV per cell